Entry from Alexandria via LeMat-Bulk: crystalline NiSNF2 at its relaxed geometry (GGA+U).

abc: 4.4502 4.4502 3.3000
angles: 90.00 90.00 90.00
Each line ends with the local moment (μB).
Atoms (fractional coordinates):
Ni1 0.5000 0.5000 0.5000  0.98
S1 0.0000 0.0000 0.0000  0.00
N1 0.0000 0.0000 0.5000  0.00
F1 0.0000 0.5000 0.0000  0.00
F2 0.5000 0.0000 0.0000  0.00

Computed properties:
For the energy above the most stable polymorph in this dataset, the calculation gives 0.127 eV per formula unit. As for the total magnetization: 1.01 μB per formula unit. As for the total energy: -3.575 eV/atom. The space-group type is P4/mmm. As for the crystal system: tetragonal.